1.
Compound: K2RbFe
Source: Alexandria via LeMat-Bulk
Functional: PBE
Structure: optimized geometry

a = 9.1977 Å, b = 9.1977 Å, c = 9.1977 Å
α = 90.00°, β = 90.00°, γ = 90.00°
Closest atoms and distances in Å follow each position.
Space group Fm-3m (No. 225)
Symmetry-distinct sites (fractional):
K 0.2500 0.2500 0.2500 (multiplicity 8)  4 Fe 3.98, 4 Rb 3.98
Rb 0.0000 0.0000 0.0000 (multiplicity 4)  8 K 3.98
Fe 0.0000 0.0000 0.5000 (multiplicity 4)  8 K 3.98

Properties
Crystal system = cubic
Formation enthalpy at 0 K = 825 meV/atom
D(E_F) = 6.0 states/eV/f.u.
Total DFT energy (no corrections) = -2.082 eV/atom

---

2.
Compound: KRbFe3
Source: Alexandria via LeMat-Bulk
Functional: PBE
Structure: optimized geometry

a = 5.8615 Å, b = 5.8615 Å, c = 5.8615 Å
α = 90.00°, β = 90.00°, γ = 90.00°
Closest atoms and distances in Å follow each position.
Space group Pm-3m (No. 221)
Symmetry-distinct sites (fractional):
K 0.0000 0.0000 0.0000 (multiplicity 1)  12 Fe 4.14
Rb 0.5000 0.5000 0.5000 (multiplicity 1)  6 Fe 2.93
Fe 0.0000 0.5000 0.5000 (multiplicity 3)  2 Rb 2.93

Properties
Crystal system = cubic
Energy above the lowest structure with this stoichiometry = 112 meV per atom
Formation enthalpy at 0 K = 2296 meV/atom
D(E_F) = 15.6 states/eV/f.u.
Total DFT energy (no corrections) = -3.195 eV/atom

---

3.
Compound: KRbFe3
Source: Alexandria via LeMat-Bulk
Functional: PBE
Structure: optimized geometry

a = 5.7103 Å, b = 5.7103 Å, c = 5.7103 Å
α = 90.00°, β = 90.00°, γ = 90.00°
Closest atoms and distances in Å follow each position.
Space group Pm-3m (No. 221)
Symmetry-distinct sites (fractional):
K 0.0000 0.0000 0.0000 (multiplicity 1)  6 Fe 2.86
Rb 0.5000 0.5000 0.5000 (multiplicity 1)  12 Fe 4.04
Fe 0.0000 0.0000 0.5000 (multiplicity 3)  2 K 2.86

Properties
Crystal system = cubic
Energy above the lowest structure with this stoichiometry = 0 meV per atom
Formation enthalpy at 0 K = 2184 meV/atom
D(E_F) = 15.1 states/eV/f.u.
Total DFT energy (no corrections) = -3.307 eV/atom

---

4.
Compound: KRb3Fe
Source: Alexandria via LeMat-Bulk
Functional: PBE
Structure: optimized geometry

a = 7.8109 Å, b = 7.8109 Å, c = 7.8109 Å
α = 90.00°, β = 90.00°, γ = 90.00°
Closest atoms and distances in Å follow each position.
Space group Pm-3m (No. 221)
Symmetry-distinct sites (fractional):
K 0.0000 0.0000 0.0000 (multiplicity 1)  6 Rb 3.91
Rb 0.0000 0.0000 0.5000 (multiplicity 3)  2 K 3.91
Fe 0.5000 0.5000 0.5000 (multiplicity 1)  12 Rb 5.52

Properties
Crystal system = cubic
Energy above the lowest structure with this stoichiometry = 358 meV per atom
Formation enthalpy at 0 K = 1054 meV/atom
D(E_F) = 15.9 states/eV/f.u.
Total DFT energy (no corrections) = -1.439 eV/atom

---

5.
Compound: KRbFeRh2
Source: Alexandria via LeMat-Bulk
Functional: PBE
Structure: optimized geometry

a = 5.0220 Å, b = 5.0220 Å, c = 5.4071 Å
α = 90.00°, β = 90.00°, γ = 90.00°
Closest atoms and distances in Å follow each position.
Space group P4/mmm (No. 123)
Symmetry-distinct sites (fractional):
K 0.0000 0.0000 0.0000 (multiplicity 1)  4 Rh 2.51, 2 Rb 2.70
Rb 0.0000 0.0000 0.5000 (multiplicity 1)  2 K 2.70
Fe 0.5000 0.5000 0.5000 (multiplicity 1)  4 Rb 3.55, 8 Rh 3.69
Rh 0.0000 0.5000 0.0000 (multiplicity 2)  2 K 2.51

Properties
Crystal system = tetragonal
Formation enthalpy at 0 K = 2043 meV/atom
D(E_F) = 8.4 states/eV/f.u.
Total DFT energy (no corrections) = -3.003 eV/atom

---

6.
Compound: KRbFe4S6
Source: Alexandria via LeMat-Bulk
Functional: PBE
Structure: optimized geometry

a = 5.1615 Å, b = 8.8987 Å, c = 11.3854 Å
α = 90.00°, β = 90.00°, γ = 90.00°
Closest atoms and distances in Å follow each position.
Space group Amm2 (No. 38)
Symmetry-distinct sites (fractional):
K 0.0000 0.0000 0.0000 (multiplicity 2)  8 S 3.35-3.57
Rb 0.5000 0.0000 0.3553 (multiplicity 2)  10 S 3.37-3.75
Fe 0.2502 0.1431 0.6774 (multiplicity 8)  4 S 2.12-2.18
S 0.0000 0.0000 0.5709 (multiplicity 2)  4 Fe 2.18
S 0.0000 0.2264 0.2839 (multiplicity 4)  2 Fe 2.12
S 0.5000 0.0000 0.7836 (multiplicity 2)  4 Fe 2.18
S 0.5000 0.2203 0.0746 (multiplicity 4)  2 Fe 2.12

Properties
Crystal system = orthorhombic
Uncorrected formation energy = -686 meV/atom
D(E_F) = 8.3 states/eV/f.u.
Total DFT energy (no corrections) = -5.743 eV/atom

---

7.
Compound: KRbFeSn2
Source: Alexandria via LeMat-Bulk
Functional: PBE
Structure: optimized geometry

a = 4.7974 Å, b = 4.7974 Å, c = 5.7847 Å
α = 90.00°, β = 90.00°, γ = 90.00°
Closest atoms and distances in Å follow each position.
Space group P4/mmm (No. 123)
Symmetry-distinct sites (fractional):
K 0.0000 0.0000 0.0000 (multiplicity 1)  2 Fe 2.89
Rb 0.5000 0.5000 0.0000 (multiplicity 1)  4 K 3.39, 8 Sn 3.76
Fe 0.0000 0.0000 0.5000 (multiplicity 1)  4 Sn 2.40
Sn 0.0000 0.5000 0.5000 (multiplicity 2)  2 Fe 2.40

Properties
Crystal system = tetragonal
Formation enthalpy at 0 K = 245 meV/atom
D(E_F) = 1.9 states/eV/f.u.
Total DFT energy (no corrections) = -3.462 eV/atom

---

8.
Compound: KRbFe2Tc
Source: Alexandria via LeMat-Bulk
Functional: PBE
Structure: optimized geometry

a = 4.6792 Å, b = 4.6792 Å, c = 6.1038 Å
α = 90.00°, β = 90.00°, γ = 90.00°
Closest atoms and distances in Å follow each position.
Space group P4/mmm (No. 123)
Symmetry-distinct sites (fractional):
K 0.0000 0.0000 0.0000 (multiplicity 1)  2 Tc 3.05, 4 Rb 3.31
Rb 0.5000 0.5000 0.0000 (multiplicity 1)  4 K 3.31
Fe 0.0000 0.5000 0.5000 (multiplicity 2)  2 Tc 2.34
Tc 0.0000 0.0000 0.5000 (multiplicity 1)  4 Fe 2.34

Properties
Crystal system = tetragonal
Formation enthalpy at 0 K = 1236 meV/atom
D(E_F) = 5.9 states/eV/f.u.
Total DFT energy (no corrections) = -4.636 eV/atom

---

9.
Compound: K2RbZrFe
Source: Alexandria via LeMat-Bulk
Functional: PBE
Structure: optimized geometry

a = 7.1524 Å, b = 7.1524 Å, c = 4.3889 Å
α = 90.00°, β = 90.00°, γ = 90.00°
Closest atoms and distances in Å follow each position.
Space group P4/mmm (No. 123)
Symmetry-distinct sites (fractional):
K 0.0000 0.5000 0.0000 (multiplicity 2)  2 Zr 3.58
Rb 0.0000 0.0000 0.5000 (multiplicity 1)  8 K 4.20, 2 Rb 4.39
Zr 0.5000 0.5000 0.0000 (multiplicity 1)  2 Fe 2.19
Fe 0.5000 0.5000 0.5000 (multiplicity 1)  2 Zr 2.19

Properties
Crystal system = tetragonal
Formation enthalpy at 0 K = 963 meV/atom
D(E_F) = 3.1 states/eV/f.u.
Total DFT energy (no corrections) = -3.072 eV/atom

---

10.
Compound: K2FeRe
Source: Alexandria via LeMat-Bulk
Functional: PBE
Structure: optimized geometry

a = 5.5663 Å, b = 11.7871 Å, c = 2.7086 Å
α = 90.00°, β = 113.03°, γ = 90.00°
Closest atoms and distances in Å follow each position.
Space group C2/m (No. 12)
Symmetry-distinct sites (fractional):
K 0.2500 0.2500 0.0000 (multiplicity 4)  6 K 2.71-3.03
Fe 0.0000 0.0000 0.5000 (multiplicity 2)  2 Fe 2.71, 4 Re 2.78-3.03
Re 0.0000 0.5000 0.5000 (multiplicity 2)  2 Re 2.71, 4 Fe 2.78-3.03

Properties
Crystal system = monoclinic
Energy above the lowest structure with this stoichiometry = 574 meV per atom
Formation enthalpy at 0 K = 1472 meV/atom
D(E_F) = 4.5 states/eV/f.u.
Total DFT energy (no corrections) = -4.304 eV/atom

---

11.
Compound: KFe2Re
Source: Alexandria via LeMat-Bulk
Functional: PBE
Structure: optimized geometry

a = 8.3063 Å, b = 2.7158 Å, c = 7.2437 Å
α = 90.00°, β = 94.51°, γ = 90.00°
Closest atoms and distances in Å follow each position.
Space group Cm (No. 8)
Symmetry-distinct sites (fractional):
K 0.0000 0.0000 0.0000 (multiplicity 2)  2 K 2.72
Fe 0.0090 0.5000 0.4973 (multiplicity 2)  3 Re 2.44-2.50, 5 Fe 2.45-2.72
Fe 0.2268 0.0000 0.6478 (multiplicity 2)  5 Fe 2.45-2.72, 2 Re 2.47
Re 0.2725 0.5000 0.3717 (multiplicity 2)  5 Fe 2.44-2.50, 2 Re 2.72

Properties
Crystal system = monoclinic
Energy above the lowest structure with this stoichiometry = 197 meV per atom
Formation enthalpy at 0 K = 907 meV/atom
D(E_F) = 4.0 states/eV/f.u.
Total DFT energy (no corrections) = -6.710 eV/atom

---

12.
Compound: KFe3Re
Source: Alexandria via LeMat-Bulk
Functional: PBE
Structure: optimized geometry

a = 4.1322 Å, b = 4.1322 Å, c = 4.1322 Å
α = 90.00°, β = 90.00°, γ = 90.00°
Closest atoms and distances in Å follow each position.
Space group Pm-3m (No. 221)
Symmetry-distinct sites (fractional):
K 0.0000 0.0000 0.0000 (multiplicity 1)  6 Fe 2.07
Fe 0.0000 0.0000 0.5000 (multiplicity 3)  2 K 2.07
Re 0.5000 0.5000 0.5000 (multiplicity 1)  12 Fe 2.92

Properties
Crystal system = cubic
Energy above the lowest structure with this stoichiometry = 1705 meV per atom
Formation enthalpy at 0 K = 3053 meV/atom
D(E_F) = 17.7 states/eV/f.u.
Total DFT energy (no corrections) = -4.734 eV/atom

---

13.
Compound: KFe2Re
Source: Alexandria via LeMat-Bulk
Functional: PBE
Structure: optimized geometry

a = 2.6789 Å, b = 5.7679 Å, c = 10.4014 Å
α = 90.00°, β = 90.00°, γ = 90.00°
Closest atoms and distances in Å follow each position.
Space group Immm (No. 71)
Symmetry-distinct sites (fractional):
K 0.0000 0.0000 0.0000 (multiplicity 2)  2 K 2.68
Fe 0.0000 0.5000 0.1998 (multiplicity 4)  2 Re 2.47, 2 Fe 2.68
Re 0.0000 0.0000 0.5000 (multiplicity 2)  4 Fe 2.47, 2 Re 2.68

Properties
Crystal system = orthorhombic
Energy above the lowest structure with this stoichiometry = 624 meV per atom
Formation enthalpy at 0 K = 1335 meV/atom
D(E_F) = 5.3 states/eV/f.u.
Total DFT energy (no corrections) = -6.283 eV/atom

---

14.
Compound: KFe2Re
Source: Alexandria via LeMat-Bulk
Functional: PBE
Structure: optimized geometry

a = 3.1470 Å, b = 4.2522 Å, c = 9.8369 Å
α = 90.00°, β = 90.00°, γ = 90.00°
Closest atoms and distances in Å follow each position.
Space group Cmm2 (No. 35)
Symmetry-distinct sites (fractional):
K 0.0000 0.0000 0.0000 (multiplicity 2)  4 K 2.65
Fe 0.0000 0.0000 0.5068 (multiplicity 2)  6 Fe 2.45-2.65, 2 Re 2.55
Fe 0.0000 0.5000 0.6973 (multiplicity 2)  6 Fe 2.45-2.65
Re 0.0000 0.5000 0.3033 (multiplicity 2)  2 Fe 2.55, 4 Re 2.65

Properties
Crystal system = orthorhombic
Energy above the lowest structure with this stoichiometry = 162 meV per atom
Formation enthalpy at 0 K = 872 meV/atom
D(E_F) = 4.6 states/eV/f.u.
Total DFT energy (no corrections) = -6.745 eV/atom